VASP calculation (GGA+U) on a geometry-optimized Na2MnInF8 structure.

The size of the total moment is 4.0 Bohr magnetons per cell. The calculation puts the total energy at -59.137 eV/cell.

The structure belongs to space group P2/m (No. 10); the cell edges are 5.058, 6.664 and 5.090 Å and the angles 90.00°, 92.45° and 90.00°. Symmetry generates all atoms from Na at (0.000, 0.245, 0.000), Mn at (0.500, 0.000, 0.500), In at (0.500, 0.500, 0.500), F at (0.210, 0.500, 0.210), F at (0.237, 0.000, 0.237) and F at (0.320, 0.240, 0.678).